The following is a GGA-PBE calculation of Ac3TeP after structural relaxation, from Alexandria via LeMat-Bulk.

abc: 5.8143 5.8143 5.8143
angles: 90.00 90.00 90.00
Sites, in units of the cell vectors:
P  0.0000  0.0000  0.0000
Ac  0.0000  0.5000  0.0000
Ac  0.0000  0.0000  0.5000
Ac  0.5000  0.0000  0.0000
Te  0.5000  0.5000  0.5000

Output
Its volume is 39.311 Å³ per atom. For the energy relative to the elements, uncorrected, the calculation gives -326 kJ/mol of formula units. Its space group is Pm-3m, No. 221. As for the electronic total energy: -4.8505 eV/atom.